Material: Ca2CrOsAu
Method: DFT, PBEsol
State: optimized geometry

Unit cell a=5.3771 b=5.3771 c=4.2776 alpha=90.00 beta=90.00 gamma=90.00
Sites, in units of the cell vectors:
1 Ca 0.0000 0.5000 0.0000
2 Ca 0.5000 0.0000 0.0000
3 Cr 0.0000 0.0000 0.0000
4 Os 0.0000 0.0000 0.5000
5 Au 0.5000 0.5000 0.5000

Properties
DOS(E_F) in states/eV/cell: 5.0
ΔH_f (0 K) in eV/atom: 0.8517
Magnetization in μB per formula unit: 2.45
Space-group type: P4/mmm, No. 123